Here is a relaxed structure of K2Tl3Cd2 from Alexandria. Energies are from GGA-PBE.

The value obtained for the energy of formation from the pure elements is -0.5 eV/f.u. The calculation puts the energy above the most stable polymorph in this dataset at 0.0000 eV/atom. The energy comes out at -1.663 eV/atom.

The space group is C2/m (No. 12) and the conventional cell measures 12.6846, 5.0640 and 8.6261 Å, with angles of 90.00, 119.69 and 90.00 degrees. Symmetry generates all atoms from K at (0.1495, 0.0000, 0.2750), Tl at (0.0000, 0.5000, 0.5000), Tl at (0.1196, 0.5000, 0.9429) and Cd at (0.1294, 0.0000, 0.7153).